This record from Alexandria via LeMat-Bulk describes a relaxed structure of PmZnCu2. The functional is PBE.

Summary:
* DOS(E_F): 7.39 states/eV per cell
* calculated formation energy: -0.232 eV per atom

Unit cell a=4.3083 b=4.3083 c=13.8484 alpha=90.00 beta=90.00 gamma=120.00
Space group R-3m (No. 166, hexagonal axes)
Unique sites:
Pm (0.0000, 0.0000, 0.0000) (multiplicity 3)
Zn (0.0000, 0.0000, 0.5000) (multiplicity 3)
Cu (0.0000, 0.0000, 0.2053) (multiplicity 6)